1.
A plane-wave DFT calculation with PBE was carried out for a relaxed structure of Pr11Tl9Cu4.

abc: 3.885 13.663 13.663
angles: 112.91 90.00 90.00
Element x y z (fractional)
Tl1 0.500 0.500 0.500
Tl2 0.500 0.927 0.782
Tl3 0.500 0.370 0.843
Tl4 0.500 0.843 0.370
Tl5 0.500 0.782 0.927
Tl6 0.500 0.218 0.073
Tl7 0.500 0.157 0.630
Tl8 0.500 0.630 0.157
Tl9 0.500 0.073 0.218
Pr1 0.000 0.164 0.836
Pr2 0.000 0.836 0.164
Pr3 0.000 0.586 0.926
Pr4 0.000 0.074 0.414
Pr5 0.000 0.692 0.692
Pr6 0.000 0.372 0.628
Pr7 0.000 0.414 0.074
Pr8 0.000 0.000 0.000
Pr9 0.000 0.628 0.372
Pr10 0.000 0.308 0.308
Pr11 0.000 0.926 0.586
Cu1 0.500 0.551 0.750
Cu2 0.500 0.750 0.551
Cu3 0.500 0.250 0.449
Cu4 0.500 0.449 0.250

Crystal system = orthorhombic
ΔH_f (0 K) = -7.73 eV/f.u.
VASP energy = -4.083 eV/atom
DOS at the Fermi energy = 21.47 states/eV per cell
Size of the total moment = 0.000 μB/f.u.

=====

2.
A plane-wave DFT calculation with PBE was carried out for a relaxed structure of KBi2F11.

abc: 8.210 9.084 9.084
angles: 71.62 63.13 63.13
Element x y z (fractional)
F1 0.126 0.037 0.200
F2 0.136 0.537 0.700
F3 0.364 0.800 0.963
F4 0.000 0.000 0.000
F5 0.500 0.500 0.500
F6 0.717 0.687 0.068
F7 0.783 0.432 0.813
F8 0.864 0.463 0.300
F9 0.636 0.200 0.037
F10 0.134 0.208 0.792
F11 0.217 0.568 0.187
F12 0.528 0.068 0.687
F13 0.972 0.813 0.432
F14 0.874 0.963 0.800
F15 0.028 0.187 0.568
F16 0.472 0.932 0.313
F17 0.634 0.292 0.708
F18 0.366 0.708 0.292
F19 0.283 0.313 0.932
F20 0.374 0.300 0.463
F21 0.626 0.700 0.537
F22 0.866 0.792 0.208
Bi1 0.868 0.184 0.816
Bi2 0.132 0.816 0.184
Bi3 0.368 0.316 0.684
Bi4 0.632 0.684 0.316
K1 0.250 0.250 0.250
K2 0.750 0.750 0.750

Crystal system = orthorhombic
VASP energy = -4.087 eV/atom
Size of the total moment = 0.082 μB/f.u.

=====

3.
A plane-wave DFT calculation with PBE was carried out for a relaxed structure of VSb2Ir.

abc: 3.151 3.151 9.300
angles: 80.25 80.25 60.00
Element x y z (fractional)
Sb1 0.907 0.907 0.280
Sb2 0.093 0.093 0.720
Ir1 0.000 0.000 0.000
V1 0.500 0.500 0.500

Crystal system = trigonal
VASP energy = -6.243 eV/atom
DOS at the Fermi energy = 4.04 states/eV per cell
Size of the total moment = 0.007 μB/f.u.

=====

4.
A plane-wave DFT calculation with PBE was carried out for a relaxed structure of TlIr2Os.

abc: 9.347 9.347 9.347
angles: 17.67 17.67 17.67
Element x y z (fractional)
Ir1 0.249 0.249 0.249
Ir2 0.995 0.995 0.995
Tl1 0.749 0.749 0.749
Os1 0.507 0.507 0.507

Crystal system = trigonal
ΔH_f (0 K) = 2.40 eV/f.u.
VASP energy = -7.228 eV/atom
DOS at the Fermi energy = 4.11 states/eV per cell
Size of the total moment = 0.000 μB/f.u.

=====

5.
A plane-wave DFT calculation with PBE was carried out for a relaxed structure of Tb5YTh.

abc: 5.911 8.043 8.043
angles: 66.05 68.44 68.44
Element x y z (fractional)
Tb1 0.500 0.828 0.172
Tb2 0.500 0.172 0.828
Tb3 0.000 0.500 0.500
Tb4 0.250 0.750 0.750
Tb5 0.750 0.250 0.250
Y1 0.000 0.000 0.000
Th1 0.500 0.500 0.500

Crystal system = orthorhombic
ΔH_f (0 K) = 8.32 eV/f.u.
VASP energy = -4.102 eV/atom
DOS at the Fermi energy = 12.24 states/eV per cell
Size of the total moment = 0.000 μB/f.u.

=====

6.
A plane-wave DFT calculation with PBE was carried out for a relaxed structure of Na2Zn5Ga3.

abc: 5.761 8.704 8.704
angles: 83.42 70.68 70.68
Element x y z (fractional)
Ga1 0.626 0.514 0.234
Ga2 0.374 0.486 0.766
Ga3 0.126 0.234 0.514
Ga4 0.874 0.766 0.486
Ga5 0.750 0.000 0.000
Ga6 0.250 0.000 0.000
Na1 0.375 0.873 0.377
Na2 0.875 0.377 0.873
Na3 0.125 0.623 0.127
Na4 0.625 0.127 0.623
Zn1 0.998 0.752 0.752
Zn2 0.375 0.269 0.981
Zn3 0.750 0.500 0.500
Zn4 0.250 0.500 0.500
Zn5 0.502 0.248 0.248
Zn6 0.498 0.752 0.752
Zn7 0.125 0.019 0.731
Zn8 0.875 0.981 0.269
Zn9 0.625 0.731 0.019
Zn10 0.002 0.248 0.248

Crystal system = orthorhombic
ΔH_f (0 K) = -0.39 eV/f.u.
VASP energy = -1.848 eV/atom
DOS at the Fermi energy = 7.44 states/eV per cell
Size of the total moment = 0.000 μB/f.u.

=====

7.
A plane-wave DFT calculation with PBE was carried out for a relaxed structure of Pu7TlPt4.

abc: 5.663 9.491 6.727
angles: 101.01 65.11 72.64
Element x y z (fractional)
Pu1 0.372 0.676 0.580
Pu2 0.148 0.588 0.115
Pu3 0.821 0.911 0.448
Pu4 0.852 0.412 0.885
Pu5 0.628 0.324 0.420
Pu6 0.500 0.000 0.000
Pu7 0.179 0.089 0.552
Pt1 0.160 0.339 0.342
Pt2 0.840 0.661 0.658
Pt3 0.525 0.759 0.191
Pt4 0.475 0.241 0.809
Tl1 0.000 0.000 0.000

Crystal system = monoclinic
ΔH_f (0 K) = -3.37 eV/f.u.
VASP energy = -10.852 eV/atom
DOS at the Fermi energy = 53.77 states/eV per cell
Size of the total moment = 6.379 μB/f.u.

=====

8.
A plane-wave DFT calculation with PBE was carried out for a relaxed structure of KAlCuTe3.

abc: 4.028 9.158 11.162
angles: 113.29 90.00 90.00
Element x y z (fractional)
Te1 0.750 0.867 0.121
Te2 0.750 0.513 0.175
Te3 0.250 0.816 0.498
Te4 0.250 0.487 0.825
Te5 0.750 0.184 0.502
Te6 0.250 0.133 0.879
Al1 0.750 0.836 0.349
Al2 0.250 0.164 0.651
K1 0.750 0.767 0.756
K2 0.250 0.233 0.244
Cu1 0.750 0.347 0.905
Cu2 0.250 0.653 0.095

Crystal system = monoclinic
VASP energy = -3.456 eV/atom
DOS at the Fermi energy = 6.83 states/eV per cell
Size of the total moment = 0.000 μB/f.u.

=====

9.
A plane-wave DFT calculation with PBE was carried out for a relaxed structure of Nd5Te5Pt.

abc: 6.350 7.773 8.851
angles: 107.16 90.00 114.11
Element x y z (fractional)
Nd1 0.848 0.696 0.155
Nd2 0.845 0.690 0.683
Nd3 0.500 0.000 0.000
Nd4 0.152 0.304 0.845
Nd5 0.155 0.310 0.317
Te1 0.000 0.000 0.500
Te2 0.320 0.639 0.667
Te3 0.680 0.361 0.333
Te4 0.335 0.670 0.173
Te5 0.665 0.330 0.827
Pt1 0.000 0.000 0.000

Crystal system = monoclinic
VASP energy = -5.489 eV/atom
DOS at the Fermi energy = 10.25 states/eV per cell
Size of the total moment = 0.003 μB/f.u.

=====

10.
A plane-wave DFT calculation with PBE was carried out for a relaxed structure of CsNbH.

abc: 3.555 3.564 12.898
angles: 90.00 90.00 119.92
Element x y z (fractional)
H1 0.613 0.226 0.000
H2 0.272 0.544 0.500
Cs1 0.280 0.560 0.843
Cs2 0.280 0.560 0.157
Nb1 0.611 0.221 0.414
Nb2 0.611 0.221 0.586

Crystal system = orthorhombic
VASP energy = -4.023 eV/atom
DOS at the Fermi energy = 1.61 states/eV per cell
Size of the total moment = 0.000 μB/f.u.